{"formula": "MnMoF3", "functional": "PBE+U", "state": "optimized geometry", "magnetic_moment_mub_per_cell": 9.03, "spacegroup": "Pm-3m", "n_ef_per_ev_atom": 0.37, "total_energy_ev_per_fu": -27.3, "de_polymorph_mev_per_atom": 259.7, "lattice": [[4.418, 0.000, 0.000], [0.000, 4.418, 0.000], [0.000, 0.000, 4.418]], "species": ["Mn", "F", "F", "F", "Mo"], "fractional_positions": [[0.500, 0.500, 0.500], [0.500, 0.000, 0.000], [0.000, 0.000, 0.500], [0.000, 0.500, 0.000], [0.000, 0.000, 0.000]]}